An optimized crystal structure of GaAgTe3. Source: the Alexandria database, functional GGA-PBE.

The value obtained for the excess energy over the best structure of this formula in the dataset is 0.0 meV/atom.

It has space group C2/c (No. 15), with a = 11.9714 Å, b = 13.6516 Å, c = 7.4722 Å, α = 90.00°, β = 102.33° and γ = 90.00°. The distinct sites, in fractional coordinates, are Ga at (0.0000, 0.0037, 0.2500), Ga at (0.0000, 0.3336, 0.7500), Ag at (0.1366, 0.3508, 0.3058), Te at (0.1148, 0.2137, 0.5650), Te at (0.1191, 0.1126, 0.0331) and Te at (0.1364, 0.4513, 0.9866).

---

An optimized crystal structure of Ga2AgTe2. Source: the Alexandria database, functional GGA-PBE.

The value obtained for the excess energy over the best structure of this formula in the dataset is 9.9 meV/atom.

It has space group P4/mbm (No. 127), with a = 8.1537 Å, b = 8.1537 Å, c = 4.0699 Å, α = 90.00°, β = 90.00° and γ = 90.00°. The distinct sites, in fractional coordinates, are Ga at (0.1157, 0.3843, 0.0000), Ag at (0.0000, 0.0000, 0.5000) and Te at (0.2108, 0.7108, 0.5000).

---

| no. | formation energy without anion corrections (eV/atom) | Fermi-level density of states (states/eV per cell) | E (eV per atom) |
| --- | --- | --- | --- |
| 1 | -0.1326 | 3.0 | -3.19 |
| 2 | 0.0067 | 5.6 | -3.03 |